[1]
The following is a DFT calculation (PBE-GGA) of a geometry-optimized RbLiO2F structure.

Computed properties:
Raw total energy, Ha/atom: -0.112
Space-group type: P4/mmm (123)
Formation energy (no corrections), meV/atom: -112

a = 4.459 Å, b = 4.459 Å, c = 5.132 Å
α = 90.00°, β = 90.00°, γ = 90.00°
Atoms (fractional coordinates):
Rb: 0.000 0.000 0.000
Li: 0.500 0.500 0.500
O: 0.000 0.500 0.000
O: 0.500 0.000 0.000
F: 0.000 0.000 0.500

=====

[2]
The following is a DFT calculation (PBE-GGA) of a geometry-optimized RbLiO2F structure.

Computed properties:
Raw total energy, Ha/atom: -0.143
Space-group type: P4/mmm (123)
Formation energy (no corrections), meV/atom: -954

a = 4.123 Å, b = 4.123 Å, c = 4.357 Å
α = 90.00°, β = 90.00°, γ = 90.00°
Atoms (fractional coordinates):
Rb: 0.000 0.000 0.000
Li: 0.500 0.500 0.500
O: 0.000 0.500 0.500
O: 0.500 0.000 0.500
F: 0.500 0.500 0.000

=====

[3]
The following is a DFT calculation (PBE-GGA) of a geometry-optimized RbLiOF2 structure.

Computed properties:
Energy above the most stable polymorph in this dataset, meV per atom: 785
Raw total energy, Ha/atom: -0.116
Space-group type: P4/mmm (123)
Formation energy (no corrections), meV/atom: -841

a = 5.035 Å, b = 5.035 Å, c = 4.523 Å
α = 90.00°, β = 90.00°, γ = 90.00°
Atoms (fractional coordinates):
Rb: 0.000 0.000 0.000
Li: 0.500 0.500 0.500
O: 0.000 0.000 0.500
F: 0.000 0.500 0.000
F: 0.500 0.000 0.000

=====

[4]
The following is a DFT calculation (PBE-GGA) of a geometry-optimized LiReOF2 structure.

Computed properties:
Energy above the most stable polymorph in this dataset, meV per atom: 505
Raw total energy, Ha/atom: -0.200
Space-group type: P4/mmm (123)
Formation energy (no corrections), meV/atom: -828

a = 3.417 Å, b = 3.417 Å, c = 4.210 Å
α = 90.00°, β = 90.00°, γ = 90.00°
Atoms (fractional coordinates):
Li: 0.000 0.000 0.000
Re: 0.500 0.500 0.500
O: 0.000 0.000 0.500
F: 0.000 0.500 0.000
F: 0.500 0.000 0.000

=====

| no. | V (Å³/cell) |
| --- | --- |
| 1 | 102.05 |
| 2 | 74.05 |
| 3 | 114.64 |
| 4 | 49.15 |